Entry 1:
Compound: BaCu3N
Source: the Alexandria database
Functional: PBE
Structure: optimized geometry

Geometry as CIF:
```
data_BaCu3N
_chemical_formula_sum 'Ba1 Cu3 N1'
_symmetry_space_group_name_H-M 'P m -3 m'
_symmetry_Int_Tables_number 221
_symmetry_space_group_name_Hall '-P 4 2 3'
_cell_length_a 4.408
_cell_length_b 4.408
_cell_length_c 4.408
_cell_angle_alpha 90.00
_cell_angle_beta 90.00
_cell_angle_gamma 90.00
loop_
_atom_site_label
_atom_site_type_symbol
_atom_site_fract_x
_atom_site_fract_y
_atom_site_fract_z
Ba1 Ba 0.000 0.000 0.000
Cu1 Cu 0.000 0.500 0.500
N1 N 0.500 0.500 0.500
```

Summary:
For the raw total energy, the calculation gives -3.9705 eV per atom. As for the uncorrected formation energy: 0.54 eV/atom. For the magnetization, the calculation gives 0.000 μB/atom. For the polymorph energy (0 for the lowest one), the calculation gives 0.0 meV per atom.


Entry 2:
Compound: KZr2P
Source: the Alexandria database
Functional: PBE
Structure: optimized geometry

Geometry as CIF:
```
data_KZr2P
_chemical_formula_sum 'K2 Zr4 P2'
_symmetry_space_group_name_H-M 'I 4/m m m'
_symmetry_Int_Tables_number 139
_symmetry_space_group_name_Hall '-I 4 2'
_cell_length_a 4.421
_cell_length_b 4.421
_cell_length_c 8.638
_cell_angle_alpha 90.00
_cell_angle_beta 90.00
_cell_angle_gamma 90.00
loop_
_atom_site_label
_atom_site_type_symbol
_atom_site_fract_x
_atom_site_fract_y
_atom_site_fract_z
K1 K 0.000 0.000 0.000
Zr1 Zr 0.000 0.500 0.250
P1 P 0.000 0.000 0.500
```

Summary:
For the raw total energy, the calculation gives -5.4419 eV per atom. As for the calculated formation energy: 0.459 eV per atom. For the magnetization, the calculation gives 0.000 μB/atom.


Entry 3:
Compound: GeAu5
Source: the Alexandria database
Functional: PBE
Structure: optimized geometry

Geometry as CIF:
```
data_GeAu5
_chemical_formula_sum 'Ge2 Au10'
_symmetry_space_group_name_H-M 'P m m n'
_symmetry_Int_Tables_number 59
_cell_length_a 4.378
_cell_length_b 8.772
_cell_length_c 5.718
_cell_angle_alpha 90.00
_cell_angle_beta 90.00
_cell_angle_gamma 90.00
loop_
_symmetry_equiv_pos_as_xyz
'x,y,z'
'-x,-y,-z'
'-x+1/2,-y+1/2,z'
'x+1/2,y+1/2,-z'
'x+1/2,-y,-z'
'-x+1/2,y,z'
'-x,y+1/2,-z'
'x,-y+1/2,z'
loop_
_atom_site_label
_atom_site_type_symbol
_atom_site_fract_x
_atom_site_fract_y
_atom_site_fract_z
Ge1 Ge 0.250 0.250 0.112
Au1 Au 0.250 0.250 0.610
Au2 Au 0.250 0.582 0.128
Au3 Au 0.250 0.583 0.628
```

Summary:
For the raw total energy, the calculation gives -3.4517 eV per atom. As for the calculated formation energy: 0.049 eV per atom. For the magnetization, the calculation gives 0.000 μB/atom.


Entry 4:
Compound: Li2GdTl
Source: the Alexandria database
Functional: PBE
Structure: optimized geometry

Geometry as CIF:
```
data_Li2GdTl
_chemical_formula_sum 'Li8 Gd4 Tl4'
_symmetry_space_group_name_H-M 'F m -3 m'
_symmetry_Int_Tables_number 225
_symmetry_space_group_name_Hall '-F 4 2 3'
_cell_length_a 6.906
_cell_length_b 6.906
_cell_length_c 6.906
_cell_angle_alpha 90.00
_cell_angle_beta 90.00
_cell_angle_gamma 90.00
loop_
_atom_site_label
_atom_site_type_symbol
_atom_site_fract_x
_atom_site_fract_y
_atom_site_fract_z
Li1 Li 0.250 0.250 0.250
Gd1 Gd 0.000 0.000 0.000
Tl1 Tl 0.000 0.000 0.500
```

Summary:
For the raw total energy, the calculation gives -5.3004 eV per atom. As for the calculated formation energy: -0.232 eV per atom. For the magnetization, the calculation gives 1.789 μB/atom. For the polymorph energy (0 for the lowest one), the calculation gives 0.0 meV per atom.


Q: Which value of magnetization does entry 4 give?
A: 1.789 μB/atom